[1]
DFT (PBE) results for a geometry-optimized Tb2Nd3Pd2 structure.

Properties
ΔH_f (0 K) = -455 meV/atom
Crystal system = monoclinic

POSCAR file:
```
Tb2Nd3Pd2
1.0
3.8522 0.0000 0.0000
-1.9261 6.1997 -0.3483
0.0000 -3.2824 8.5416
Nd Tb Pd
3 2 2
Direct
0.6147 0.2295 0.4398
0.5000 0.0000 0.0000
0.3853 0.7705 0.5602
0.1603 0.3205 0.8111
0.8397 0.6795 0.1889
0.8286 0.6572 0.7782
0.1714 0.3428 0.2218
```



[2]
DFT (PBE) results for a geometry-optimized SmEuInPb structure.

Properties
ΔH_f (0 K) = -460 meV/atom
Crystal system = cubic

POSCAR file:
```
SmEuInPb
1.0
-2.2269 -4.5726 -2.1910
2.3462 -2.3803 -4.4157
2.5894 -4.8669 0.5267
Pb Sm In Eu
1 1 1 1
Direct
0.5000 0.5000 0.5000
0.7500 0.7500 0.7500
0.0000 0.0000 0.0000
0.2500 0.2500 0.2500
```



[3]
DFT (PBE) results for a geometry-optimized Li5ZnIn structure.

Properties
ΔH_f (0 K) = -112 meV/atom
Crystal system = monoclinic
E above lowest polymorph = 0.0 meV/atom

POSCAR file:
```
Li5ZnIn
1.0
-1.6293 2.6116 4.6606
-4.7487 -1.4254 2.5719
3.3529 -6.1698 6.9174
Zn Li In
2 10 2
Direct
0.0000 0.0000 0.0000
0.0000 0.0000 0.5000
0.6012 0.7012 0.4634
0.7012 0.6012 0.9634
0.3988 0.2988 0.5366
0.8425 0.6839 0.6834
0.6839 0.8425 0.1834
0.3161 0.1575 0.8166
0.2988 0.3988 0.0366
0.7938 0.2062 0.7500
0.2062 0.7938 0.2500
0.1575 0.3161 0.3166
0.2971 0.7029 0.7500
0.7029 0.2971 0.2500
```



[4]
DFT (PBE) results for a geometry-optimized BeAlSi2 structure.

Properties
Crystal system = orthorhombic
E above lowest polymorph = 0.0 meV/atom

POSCAR file:
```
BeAlSi2
1.0
2.6888 0.0000 0.0000
0.0000 3.4208 0.0000
0.0000 0.0000 5.8791
Si Be Al
2 1 1
Direct
0.0000 0.0000 0.9597
0.0000 0.0000 0.5403
0.5000 0.5000 0.7500
0.5000 0.5000 0.2500
```



[5]
DFT (PBE) results for a geometry-optimized Sr3Ga2Ag3 structure.

Properties
ΔH_f (0 K) = -261 meV/atom
Crystal system = triclinic
E above lowest polymorph = 80.6 meV/atom

POSCAR file:
```
Sr3Ga2Ag3
1.0
-1.5735 -3.4268 1.7461
3.3299 0.7658 4.6053
-6.6169 3.6076 6.1181
Sr Ag Ga
3 3 2
Direct
0.0000 0.0000 0.0000
0.1475 0.5691 0.7079
0.8525 0.4309 0.2921
0.5000 0.5000 0.0000
0.3585 0.9270 0.2837
0.6415 0.0730 0.7163
0.7673 0.8594 0.4678
0.2327 0.1406 0.5322
```



- Which formula does entry 2 have?
  SmEuInPb



- Number 2 is which compound?
  SmEuInPb